The following is a meta-GGA SCAN calculation of a PBEsol-optimized structure of CsYZnTe3, from Alexandria.

Unit cell a=4.339 b=16.776 c=11.499 alpha=90.00 beta=90.00 gamma=90.00
Space group Cmcm (No. 63)
Symmetry-distinct sites (fractional):
Cs: 0.000 0.247 0.250 x4
Y: 0.000 0.500 0.000 x4
Zn: 0.000 0.037 0.750 x4
Te: 0.000 0.122 0.558 x8
Te: 0.000 0.439 0.750 x4

The total energy comes out at -793.64 eV/cell.